# Na2GeSb, optimized geometry, DFT PBE-GGA
# Raw formation energy, meV per atom: 77
# Fermi-level density of states, states/eV/f.u.: 2.61
# Total DFT energy (no corrections), eV/atom: -2.77
# Magnetic moment, μB/f.u.: 0.0
data_Na2GeSb
_chemical_formula_sum 'Na8 Ge4 Sb4'
_symmetry_space_group_name_H-M 'I -4 2 d'
_symmetry_Int_Tables_number 122
_symmetry_space_group_name_Hall 'I -4 2bw'
_cell_length_a 8.755
_cell_length_b 8.755
_cell_length_c 5.641
_cell_angle_alpha 90.00
_cell_angle_beta 90.00
_cell_angle_gamma 90.00
loop_
_atom_site_label
_atom_site_type_symbol
_atom_site_fract_x
_atom_site_fract_y
_atom_site_fract_z
_atom_site_occupancy
Na1 Na 0.230 0.750 0.125 1
Ge1 Ge 0.000 0.000 0.000 1
Sb1 Sb 0.000 0.000 0.500 1